# 1
Density functional theory data (PBE) for a relaxed LiFe2Ge crystal.

a = 4.0193 Å, b = 4.0193 Å, c = 4.0193 Å
α = 60.00°, β = 60.00°, γ = 60.00°
Closest atoms and distances in Å follow each position.
Positions (direct):
Li (0.0000, 0.0000, 0.0000)  4 Ge 2.46, 4 Fe 2.46
Fe (0.2500, 0.2500, 0.2500)  4 Fe 2.46, 4 Li 2.46
Fe (0.5000, 0.5000, 0.5000)  4 Ge 2.46, 4 Fe 2.46
Ge (0.7500, 0.7500, 0.7500)  4 Fe 2.46, 4 Li 2.46

DFT total energy = -5.910 eV/atom
symmetry = F-43m

# 2
Density functional theory data (PBE) for a relaxed LiFe3Ge5 crystal.

a = 4.8518 Å, b = 4.8518 Å, c = 7.1563 Å
α = 90.00°, β = 90.00°, γ = 120.00°
Closest atoms and distances in Å follow each position.
Positions (direct):
Li (0.0000, 0.0000, 0.0000)  12 Ge 3.15
Fe (0.0000, 0.5000, 0.5000)  4 Fe 2.43, 6 Ge 2.43-2.55
Fe (0.5000, 0.0000, 0.5000)  6 Ge 2.43-2.55, 4 Fe 2.43
Fe (0.5000, 0.5000, 0.5000)  4 Fe 2.43, 6 Ge 2.43-2.55
Ge (0.0000, 0.0000, 0.5000)  6 Fe 2.43
Ge (0.3333, 0.6667, 0.2027)  3 Fe 2.55, 3 Ge 2.80
Ge (0.3333, 0.6667, 0.7973)  3 Fe 2.55, 3 Ge 2.80
Ge (0.6667, 0.3333, 0.2027)  3 Fe 2.55, 3 Ge 2.80
Ge (0.6667, 0.3333, 0.7973)  3 Fe 2.55, 3 Ge 2.80

DFT total energy = -5.573 eV/atom
symmetry = P6/mmm

# 3
Density functional theory data (PBE) for a relaxed LiLuFeGe crystal.

a = 4.4929 Å, b = 4.4929 Å, c = 4.4929 Å
α = 60.00°, β = 60.00°, γ = 60.00°
Closest atoms and distances in Å follow each position.
Positions (direct):
Li (0.0000, 0.0000, 0.0000)  4 Fe 2.75, 4 Lu 2.75
Lu (0.2500, 0.2500, 0.2500)  4 Ge 2.75, 4 Li 2.75
Fe (0.7500, 0.7500, 0.7500)  4 Ge 2.75, 4 Li 2.75
Ge (0.5000, 0.5000, 0.5000)  4 Lu 2.75, 4 Fe 2.75

symmetry = F-43m
energy above the lowest structure with this stoichiometry = 35 meV/atom

# 4
Density functional theory data (PBE) for a relaxed LiLuFeGe crystal.

a = 4.4261 Å, b = 4.4261 Å, c = 4.4261 Å
α = 60.00°, β = 60.00°, γ = 60.00°
Closest atoms and distances in Å follow each position.
Positions (direct):
Li (0.0000, 0.0000, 0.0000)  4 Lu 2.71, 4 Ge 2.71
Lu (0.7500, 0.7500, 0.7500)  4 Fe 2.71, 4 Li 2.71
Fe (0.5000, 0.5000, 0.5000)  4 Ge 2.71, 4 Lu 2.71
Ge (0.2500, 0.2500, 0.2500)  4 Fe 2.71, 4 Li 2.71

symmetry = F-43m
energy above the lowest structure with this stoichiometry = 0 meV/atom

# 5
Density functional theory data (PBE) for a relaxed Li2Nb2FeGe2Os crystal.

a = 4.2576 Å, b = 4.2576 Å, c = 6.0714 Å
α = 90.00°, β = 90.00°, γ = 90.00°
Closest atoms and distances in Å follow each position.
Positions (direct):
Li (0.0000, 0.0000, 0.0000)  4 Nb 2.58, 4 Ge 2.58
Li (0.5000, 0.5000, 0.5000)  4 Ge 2.65, 4 Nb 2.65
Nb (0.0000, 0.5000, 0.2390)  2 Fe 2.58, 4 Li 2.58-2.65, 2 Os 2.65
Nb (0.5000, 0.0000, 0.7610)  2 Fe 2.58, 4 Li 2.58-2.65, 2 Os 2.65
Fe (0.5000, 0.5000, 0.0000)  4 Nb 2.58, 4 Ge 2.58
Ge (0.0000, 0.5000, 0.7600)  2 Fe 2.58, 4 Li 2.58-2.65, 2 Os 2.65
Ge (0.5000, 0.0000, 0.2400)  2 Fe 2.58, 4 Li 2.58-2.65, 2 Os 2.65
Os (0.0000, 0.0000, 0.5000)  4 Ge 2.65, 4 Nb 2.65

DFT total energy = -6.931 eV/atom
symmetry = P-4m2

# 6
Density functional theory data (PBE) for a relaxed Li2Nb2Fe2SiGe crystal.

a = 4.1451 Å, b = 4.1451 Å, c = 5.8626 Å
α = 90.00°, β = 90.00°, γ = 90.00°
Closest atoms and distances in Å follow each position.
Positions (direct):
Li (0.0000, 0.5000, 0.2489)  4 Nb 2.53-2.54, 2 Si 2.53, 2 Ge 2.54
Li (0.5000, 0.0000, 0.7511)  4 Nb 2.53-2.54, 2 Si 2.53, 2 Ge 2.54
Nb (0.0000, 0.0000, 0.5000)  4 Li 2.54, 4 Fe 2.55
Nb (0.5000, 0.5000, 0.0000)  4 Fe 2.52, 4 Li 2.53
Fe (0.0000, 0.5000, 0.7546)  4 Nb 2.52-2.55, 2 Si 2.52, 2 Ge 2.55
Fe (0.5000, 0.0000, 0.2454)  4 Nb 2.52-2.55, 2 Si 2.52, 2 Ge 2.55
Si (0.0000, 0.0000, 0.0000)  4 Fe 2.52, 4 Li 2.53
Ge (0.5000, 0.5000, 0.5000)  4 Li 2.54, 4 Fe 2.55

DFT total energy = -6.704 eV/atom
symmetry = P-4m2